Version P
Entry from Alexandria: an optimized crystal structure of CuNi2I (PBE).

```
CuNi2I
1.0
3.8624 0.0000 0.0000
0.0000 3.8624 0.0000
0.0000 0.0000 17.0344
Cu Ni I
4 8 4
Cartesian
0.0000 0.0000 0.0000
0.0000 1.9312 4.2586
1.9312 0.0000 12.7758
1.9312 1.9312 8.5172
0.9109 0.9656 2.1293
0.9656 2.8421 6.3879
0.9656 2.9514 14.9051
1.0202 0.9656 10.6465
2.8421 2.8968 10.6465
2.8968 0.9109 14.9051
2.8968 1.0202 6.3879
2.9514 2.8968 2.1293
0.0000 0.0000 8.5172
0.0000 1.9312 12.7758
1.9312 0.0000 4.2586
1.9312 1.9312 0.0000
```


Version Q
Entry from Alexandria: an optimized crystal structure of CuNi2I (PBE).

```
CuNi2I
1.0
6.1473 0.0000 0.0000
0.0000 6.1473 0.0000
0.0000 0.0000 6.1473
Cu Ni I
4 8 4
Cartesian
0.0000 0.0000 0.0000
0.0000 3.0737 3.0737
3.0737 0.0000 3.0737
3.0737 3.0737 0.0000
1.5368 1.5368 1.5368
1.5368 1.5368 4.6105
1.5368 4.6105 1.5368
1.5368 4.6105 4.6105
4.6105 1.5368 1.5368
4.6105 1.5368 4.6105
4.6105 4.6105 1.5368
4.6105 4.6105 4.6105
0.0000 0.0000 3.0737
0.0000 3.0737 0.0000
3.0737 0.0000 0.0000
3.0737 3.0737 3.0737
```


Most stable one: version Q, least stable one: version P.


Version P
Entry from Alexandria: an optimized crystal structure of CuNiI6 (PBE).

```
CuNiI6
1.0
10.5408 0.0000 0.0000
0.0000 10.8572 0.0000
-3.8031 0.0000 6.2847
Cu Ni I
2 2 12
Cartesian
0.0000 0.0000 0.0000
5.2704 5.4286 0.0000
-1.9015 0.0000 3.1423
3.3689 5.4286 3.1423
-0.7302 1.7561 1.7893
-0.7302 9.1011 1.7893
1.0503 5.4286 0.9355
0.4170 0.0000 5.3491
2.1976 3.6725 4.4953
2.1976 7.1847 4.4953
4.5402 3.6725 1.7893
4.5402 7.1847 1.7893
6.3208 0.0000 0.9355
5.6874 5.4286 5.3491
7.4680 1.7561 4.4953
7.4680 9.1011 4.4953
```


Version Q
Entry from Alexandria: an optimized crystal structure of CuNiI6 (PBE).

```
CuNiI6
1.0
3.6477 2.1060 5.6619
-3.6477 2.1060 5.6619
0.0000 -4.2120 5.6619
Cu Ni I
1 1 6
Cartesian
0.0000 0.0000 0.0000
0.0000 0.0000 8.4928
-2.2348 0.1940 7.0730
-1.2854 -1.8384 9.9126
0.9494 -2.0324 7.0730
-0.9494 2.0324 9.9126
1.2854 1.8384 7.0730
2.2348 -0.1940 9.9126
```


Most stable one: version P, least stable one: version Q.


Version P
Entry from Alexandria: an optimized crystal structure of Cu2NiI (PBE).

```
Cu2NiI
1.0
6.3499 0.0000 0.0000
0.0000 6.3499 0.0000
0.0000 0.0000 6.3499
Cu Ni I
8 4 4
Cartesian
1.5875 1.5875 1.5875
1.5875 1.5875 4.7624
1.5875 4.7624 1.5875
1.5875 4.7624 4.7624
4.7624 1.5875 1.5875
4.7624 1.5875 4.7624
4.7624 4.7624 1.5875
4.7624 4.7624 4.7624
0.0000 0.0000 0.0000
0.0000 3.1749 3.1749
3.1749 0.0000 3.1749
3.1749 3.1749 0.0000
0.0000 0.0000 3.1749
0.0000 3.1749 0.0000
3.1749 0.0000 0.0000
3.1749 3.1749 3.1749
```


Version Q
Entry from Alexandria: an optimized crystal structure of Cu2NiI (PBE).

```
Cu2NiI
1.0
7.0955 0.0000 0.0000
0.0000 7.0955 0.0000
0.0000 0.0000 5.2075
Cu Ni I
8 4 4
Cartesian
1.5854 1.7739 0.6509
1.7739 5.1332 1.9528
1.7739 5.5101 4.5566
1.9623 1.7739 3.2547
5.1332 5.3216 3.2547
5.3216 1.5854 4.5566
5.3216 1.9623 1.9528
5.5101 5.3216 0.6509
0.0000 0.0000 0.0000
0.0000 3.5477 1.3019
3.5477 0.0000 3.9056
3.5477 3.5477 2.6038
0.0000 0.0000 2.6038
0.0000 3.5477 3.9056
3.5477 0.0000 1.3019
3.5477 3.5477 0.0000
```


Most stable one: version Q, least stable one: version P.


Version P
Entry from Alexandria: an optimized crystal structure of Cu2NiI4 (PBE).

```
Cu2NiI4
1.0
5.8450 0.0000 0.0000
0.0000 5.8450 0.0000
0.0000 0.0000 6.6008
Cu Ni I
2 1 4
Cartesian
0.0000 2.9225 0.0000
2.9225 0.0000 0.0000
0.0000 0.0000 0.0000
1.4401 1.4401 4.9903
1.4401 4.4049 1.6104
4.4049 1.4401 1.6104
4.4049 4.4049 4.9903
```


Version Q
Entry from Alexandria: an optimized crystal structure of Cu2NiI4 (PBE).

```
Cu2NiI4
1.0
5.9951 0.0000 0.0000
0.0000 5.9951 0.0000
0.0000 0.0000 5.9268
Cu Ni I
2 1 4
Cartesian
0.0000 2.9975 0.0000
2.9975 0.0000 0.0000
0.0000 0.0000 2.9634
1.4997 1.4997 4.4067
1.4997 4.4954 1.5201
4.4954 1.4997 1.5201
4.4954 4.4954 4.4067
```


Most stable one: version Q, least stable one: version P.


Version P
Entry from Alexandria: an optimized crystal structure of Cu2NiI6 (PBE).

```
Cu2NiI6
1.0
7.2718 0.0000 0.0000
0.0000 6.8814 0.0000
-4.8638 0.0000 12.0786
Cu Ni I
4 2 12
Cartesian
0.1431 0.4054 2.9119
-2.2888 3.0353 8.9512
4.6968 3.8461 3.1274
2.2650 6.4760 9.1667
3.6359 0.0000 0.0000
1.2040 3.4407 6.0393
-0.2142 4.7676 3.6006
-2.6461 5.5545 9.6399
1.4219 1.1172 0.7464
-1.0100 2.3235 6.7857
1.7402 1.3125 4.7096
-0.6917 2.1282 10.7489
3.0997 4.7532 1.3297
0.6678 5.5689 7.3690
3.4180 4.5579 5.2929
0.9862 5.7641 11.3322
5.0541 1.3269 2.4387
2.6223 2.1138 8.4781
```


Version Q
Entry from Alexandria: an optimized crystal structure of Cu2NiI6 (PBE).

```
Cu2NiI6
1.0
6.9390 -6.3296 0.0000
6.9390 6.3296 0.0000
-2.4111 0.0000 7.0481
Cu Ni I
4 2 12
Cartesian
2.1045 1.2062 2.0020
0.8989 -1.2062 5.5260
10.5681 1.2062 1.5221
9.3625 -1.2062 5.0462
5.1307 0.9375 5.2861
6.3363 -0.9375 1.7620
-0.4779 0.6598 6.5226
3.0447 2.6396 5.4809
0.7277 -0.6598 2.9985
4.6374 1.0558 2.6680
7.2167 2.6396 5.0913
3.4318 -1.0558 6.1921
8.0351 1.0558 0.8560
4.2503 -2.6396 1.9569
6.8296 -1.0558 4.3801
10.7392 0.6598 4.0496
8.4222 -2.6396 1.5672
11.9448 -0.6598 0.5255
```


Most stable one: version P, least stable one: version Q.


Version P
Entry from Alexandria: an optimized crystal structure of CuNiSbI2 (PBE).

```
CuNiSbI2
1.0
5.3940 0.0000 0.0000
0.0000 5.3940 0.0000
0.0000 0.0000 5.0307
Cu Ni Sb I
1 1 1 2
Cartesian
0.0000 0.0000 0.0000
2.6970 2.6970 2.5153
0.0000 0.0000 2.5153
0.0000 2.6970 0.0000
2.6970 0.0000 0.0000
```


Version Q
Entry from Alexandria: an optimized crystal structure of CuNiSbI2 (PBE).

```
CuNiSbI2
1.0
5.4300 0.0000 0.0000
0.0000 5.4300 0.0000
0.0000 0.0000 4.7988
Cu Ni Sb I
1 1 1 2
Cartesian
0.0000 0.0000 0.0000
2.7150 2.7150 2.3994
2.7150 2.7150 0.0000
0.0000 2.7150 2.3994
2.7150 0.0000 2.3994
```


Most stable one: version Q, least stable one: version P.